# 1
A relaxed PrY2Ho6 crystal. Source: Alexandria via LeMat-Bulk, functional PBE.

Lattice parameters (Å, degrees): 7.3761 7.3761 6.1220 90.00 90.00 120.00
Last column: nearest neighbours and their distance in Å.
Space group P-3m1 (No. 164)
Asymmetric unit:
Pr (0.0000, 0.0000, 0.0000) x1  6 Ho 3.02
Y (0.3333, 0.6667, 0.7934) x2  12 Ho 3.55-3.74
Ho (0.1873, 0.3745, 0.3005) x6  1 Pr 3.02, 2 Ho 3.23

Its formation energy from the elements is 0.2222 eV per atom.


# 2
A relaxed Sc6BiSe2S3 crystal. Source: Alexandria via LeMat-Bulk, functional PBE.

Lattice parameters (Å, degrees): 16.8710 3.7923 7.8149 90.00 104.55 90.00
Last column: nearest neighbours and their distance in Å.
Space group C2/m (No. 12)
Asymmetric unit:
Sc (0.0062, 0.0000, 0.2195) x4  3 S 2.54-2.60
Sc (0.1619, 0.5000, 0.0962) x4  3 S 2.61-2.64, 3 Se 2.79-2.82
Sc (0.1781, 0.5000, 0.5653) x4  3 S 2.56-2.63, 2 Se 2.86
Bi (0.0000, 0.5000, 0.5000) x2  6 Sc 2.92
Se (0.1678, 0.0000, 0.8322) x4  6 Sc 2.79-2.86
S (0.0000, 0.5000, 0.0000) x2  6 Sc 2.54-2.64
S (0.1653, 0.0000, 0.3272) x4  6 Sc 2.56-2.63

The calculation puts the formation energy without anion corrections at -35.8 kcal/mol of atoms.


# 3
A relaxed TcOs2Pt crystal. Source: Alexandria via LeMat-Bulk, functional PBE.

Lattice parameters (Å, degrees): 3.8922 3.8922 7.7147 90.00 90.00 90.00
Last column: nearest neighbours and their distance in Å.
Space group I4/mmm (No. 139)
Asymmetric unit:
Tc (0.0000, 0.0000, 0.0000) x2  8 Os 2.74, 4 Pt 2.75
Os (0.0000, 0.5000, 0.2500) x4  4 Tc 2.74, 4 Pt 2.74, 4 Os 2.75
Pt (0.0000, 0.0000, 0.5000) x2  8 Os 2.74, 4 Tc 2.75

The calculation puts the energy above the most stable polymorph in this dataset at 39 meV/atom. Its formation energy from the elements is 0.0676 eV per atom.


# 4
A relaxed VSn2 crystal. Source: Alexandria via LeMat-Bulk, functional PBE.

Lattice parameters (Å, degrees): 5.5199 9.4537 18.8105 90.00 90.00 90.00
Last column: nearest neighbours and their distance in Å.
Space group Fddd (No. 70, origin choice 2)
Asymmetric unit:
V (0.1250, 0.1250, 0.2527) x16  2 V 2.74, 8 Sn 2.80-2.88
Sn (0.1250, 0.1250, 0.5411) x16  4 V 2.83-2.88, 3 Sn 3.14-3.16
Sn (0.1250, 0.2913, 0.1250) x16  4 V 2.80-2.87

Its formation energy from the elements is -0.0543 eV per atom.


# 5
A relaxed KLiCo2Tc crystal. Source: Alexandria via LeMat-Bulk, functional PBE.

Lattice parameters (Å, degrees): 4.4627 4.4627 5.2117 90.00 90.00 90.00
Last column: nearest neighbours and their distance in Å.
Space group P4/mmm (No. 123)
Asymmetric unit:
K (0.0000, 0.0000, 0.0000) x1  4 Li 3.16, 8 Co 3.43
Li (0.5000, 0.5000, 0.0000) x1  2 Tc 2.61
Co (0.0000, 0.5000, 0.5000) x2  2 Tc 2.23
Tc (0.5000, 0.5000, 0.5000) x1  4 Co 2.23

Its formation energy from the elements is 1.0093 eV per atom.


# 6
A relaxed TlZn2CdO4 crystal. Source: Alexandria via LeMat-Bulk, functional PBE.

Lattice parameters (Å, degrees): 4.9288 4.9288 10.0238 90.00 90.00 90.00
Last column: nearest neighbours and their distance in Å.
Space group I-42m (No. 121)
Asymmetric unit:
Tl (0.0000, 0.0000, 0.0000) x2  4 O 2.31
Zn (0.0000, 0.5000, 0.2500) x4  4 O 2.03
Cd (0.0000, 0.0000, 0.5000) x2  4 O 2.24
O (0.2438, 0.2438, 0.3544) x8  2 Zn 2.03, 1 Cd 2.24

The calculation puts the formation energy without anion corrections at -24.2 kcal/mol of atoms.


In the order shown, the computed density of states at the Fermi level values come out to 13.58 9.43 6.66 42.21 7.75 6.40 states/eV/cell.